<1>
VASP calculation (PBEsol) on InSbMo2 after structural relaxation.

Results
The value obtained for the density of states at the Fermi level is 2.8 states/eV/f.u.

Lattice parameters (Å, degrees): 4.7015 4.7015 5.3515 100.80 100.80 38.62
Fractional coordinates of all 4 atoms:
1 In 0.0000 0.0000 0.0000
2 Sb 0.5000 0.5000 0.5000
3 Mo 0.2464 0.2464 0.7435
4 Mo 0.7536 0.7536 0.2565


<2>
VASP calculation (PBEsol) on InSbMo2 after structural relaxation.

Results
The value obtained for the density of states at the Fermi level is 1.0 states/eV/f.u.

Lattice parameters (Å, degrees): 3.1833 3.1833 7.9364 90.00 90.00 90.00
Fractional coordinates of all 4 atoms:
1 In 0.0000 0.0000 0.0000
2 Sb 0.5000 0.5000 0.6288
3 Mo 0.0000 0.0000 0.4006
4 Mo 0.5000 0.5000 0.2301


In terms of stability, <2> leads; the second structure lies 302 meV/atom higher.


<1>
VASP calculation (PBEsol) on SrIn2Mo after structural relaxation.

Results
The value obtained for the density of states at the Fermi level is 3.4 states/eV/f.u.

Lattice parameters (Å, degrees): 5.0882 5.0882 5.0882 60.00 60.00 60.00
Fractional coordinates of all 4 atoms:
1 Sr 0.0000 0.0000 0.0000
2 In 0.2500 0.2500 0.2500
3 In 0.7500 0.7500 0.7500
4 Mo 0.5000 0.5000 0.5000


<2>
VASP calculation (PBEsol) on SrIn2Mo after structural relaxation.

Results
The value obtained for the density of states at the Fermi level is 3.7 states/eV/f.u.

Lattice parameters (Å, degrees): 5.9353 5.9353 5.9353 143.30 131.07 62.69
Fractional coordinates of all 4 atoms:
1 Sr 0.0000 0.0000 0.0000
2 In 0.2764 0.7764 0.5000
3 In 0.5400 0.5400 0.0000
4 Mo 0.7470 0.2470 0.5000


In terms of stability, <1> leads; the second structure lies 100 meV/atom higher.


<1>
VASP calculation (PBEsol) on InTcMo after structural relaxation.

Results
The value obtained for the density of states at the Fermi level is 2.8 states/eV/f.u.

Lattice parameters (Å, degrees): 4.4271 4.4271 2.8869 90.00 90.00 120.00
Fractional coordinates of all 3 atoms:
1 In 0.0000 0.0000 0.0000
2 Tc 0.3333 0.6667 0.6031
3 Mo 0.6667 0.3333 0.4200


<2>
VASP calculation (PBEsol) on InTcMo after structural relaxation.

Results
The value obtained for the density of states at the Fermi level is 2.9 states/eV/f.u.

Lattice parameters (Å, degrees): 4.3301 4.3301 4.3301 60.00 60.00 60.00
Fractional coordinates of all 3 atoms:
1 In 0.0000 0.0000 0.0000
2 Tc 0.5000 0.5000 0.5000
3 Mo 0.7500 0.7500 0.7500


In terms of stability, <1> leads; the second structure lies 519 meV/atom higher.